# 1
{"formula": "YSiTc", "functional": "GGA-PBE", "state": "optimized geometry", "lattice_angstrom": [[6.9443, -2.1189, 0.0000], [6.9443, 2.1189, 0.0000], [-0.0350, 0.0000, 8.5101]], "species": ["Y", "Y", "Y", "Y", "Si", "Si", "Si", "Si", "Tc", "Tc", "Tc", "Tc"], "frac_coords": [[0.0810, 0.0810, 0.1728], [0.4015, 0.4015, 0.3710], [0.5985, 0.5985, 0.6290], [0.9190, 0.9190, 0.8272], [0.1357, 0.1357, 0.8463], [0.1994, 0.1994, 0.4477], [0.8006, 0.8006, 0.5523], [0.8643, 0.8643, 0.1537], [0.2847, 0.2847, 0.0446], [0.2850, 0.2850, 0.7015], [0.7150, 0.7150, 0.2985], [0.7153, 0.7153, 0.9554]], "vol_a3_per_atom": 20.87, "energy_ev_per_atom": -7.775}

***

# 2
{"formula": "TmIrSe", "functional": "GGA-PBE", "state": "optimized geometry", "lattice_angstrom": [[2.0821, 1.2021, 10.7712], [-2.0821, 1.2021, 10.7712], [0.0000, -2.4042, 10.7712]], "species": ["Tm", "Tm", "Ir", "Ir", "Se", "Se"], "frac_coords": [[0.0683, 0.0683, 0.0683], [0.9317, 0.9317, 0.9317], [0.3340, 0.3340, 0.3340], [0.6660, 0.6660, 0.6660], [0.2231, 0.2231, 0.2231], [0.7769, 0.7769, 0.7769]], "vol_a3_per_atom": 26.96, "energy_ev_per_atom": -6.553}

***

# 3
{"formula": "KOs2W", "functional": "GGA-PBE", "state": "optimized geometry", "lattice_angstrom": [[5.0892, 0.0000, 0.0000], [0.0000, 5.0892, 0.0000], [0.0000, 0.0000, 2.7036]], "species": ["K", "Os", "Os", "W"], "frac_coords": [[0.0000, 0.0000, 0.0000], [0.0000, 0.5000, 0.5000], [0.5000, 0.0000, 0.5000], [0.5000, 0.5000, 0.0000]], "ef_ev_per_atom": 1.567, "vol_a3_per_atom": 17.51, "energy_ev_per_atom": -7.560}

***

# 4
{"formula": "Pr4InAu", "functional": "GGA-PBE", "state": "optimized geometry", "lattice_angstrom": [[5.6153, 0.0000, 0.0000], [0.0000, 7.2659, 0.0000], [-1.2999, 0.0000, 9.0837]], "species": ["Pr", "Pr", "Pr", "Pr", "Pr", "Pr", "Pr", "Pr", "In", "In", "Au", "Au"], "frac_coords": [[0.1731, 0.2500, 0.0540], [0.2105, 0.7500, 0.3760], [0.3145, 0.5188, 0.7282], [0.3145, 0.9812, 0.7282], [0.6855, 0.0188, 0.2718], [0.6855, 0.4812, 0.2718], [0.7895, 0.2500, 0.6240], [0.8269, 0.7500, 0.9460], [0.2322, 0.2500, 0.4163], [0.7678, 0.7500, 0.5837], [0.3439, 0.7500, 0.0565], [0.6561, 0.2500, 0.9435]], "ef_ev_per_atom": -0.405, "vol_a3_per_atom": 30.88, "energy_ev_per_atom": -4.594}

***

# 5
{"formula": "RbTcBr5", "functional": "GGA-PBE", "state": "optimized geometry", "lattice_angstrom": [[7.2752, -4.0719, 0.0000], [7.2752, 4.0719, 0.0000], [-3.5497, 0.0000, 9.2521]], "species": ["Rb", "Rb", "Tc", "Tc", "Br", "Br", "Br", "Br", "Br", "Br", "Br", "Br", "Br", "Br"], "frac_coords": [[0.0211, 0.9789, 0.7500], [0.9789, 0.0211, 0.2500], [0.5000, 0.5000, 0.0000], [0.5000, 0.5000, 0.5000], [0.1568, 0.5839, 0.4727], [0.1584, 0.5773, 0.8892], [0.3996, 0.6004, 0.2500], [0.4161, 0.8432, 0.0273], [0.4227, 0.8416, 0.6108], [0.5773, 0.1584, 0.3892], [0.5839, 0.1568, 0.9727], [0.6004, 0.3996, 0.7500], [0.8416, 0.4227, 0.1108], [0.8432, 0.4161, 0.5273]], "vol_a3_per_atom": 39.16, "energy_ev_per_atom": -3.553}

***

# 6
{"formula": "PmDyZnIr", "functional": "GGA-PBE", "state": "optimized geometry", "lattice_angstrom": [[7.0663, 0.0000, 0.0000], [0.0000, 7.0663, 0.0000], [0.0000, 0.0000, 7.0663]], "species": ["Pm", "Pm", "Pm", "Pm", "Dy", "Dy", "Dy", "Dy", "Zn", "Zn", "Zn", "Zn", "Ir", "Ir", "Ir", "Ir"], "frac_coords": [[0.0000, 0.0000, 0.0000], [0.0000, 0.5000, 0.5000], [0.5000, 0.0000, 0.5000], [0.5000, 0.5000, 0.0000], [0.0000, 0.0000, 0.5000], [0.0000, 0.5000, 0.0000], [0.5000, 0.0000, 0.0000], [0.5000, 0.5000, 0.5000], [0.2500, 0.2500, 0.7500], [0.2500, 0.7500, 0.2500], [0.7500, 0.2500, 0.2500], [0.7500, 0.7500, 0.7500], [0.2500, 0.2500, 0.2500], [0.2500, 0.7500, 0.7500], [0.7500, 0.2500, 0.7500], [0.7500, 0.7500, 0.2500]], "ef_ev_per_atom": -0.565, "vol_a3_per_atom": 22.05, "energy_ev_per_atom": -5.437}

***

# 7
{"formula": "AlZnInHg", "functional": "GGA-PBE", "state": "optimized geometry", "lattice_angstrom": [[7.0421, 0.0000, 0.0000], [0.0000, 7.0421, 0.0000], [0.0000, 0.0000, 7.0421]], "species": ["Al", "Al", "Al", "Al", "Zn", "Zn", "Zn", "Zn", "In", "In", "In", "In", "Hg", "Hg", "Hg", "Hg"], "frac_coords": [[0.0000, 0.0000, 0.0000], [0.0000, 0.5000, 0.5000], [0.5000, 0.0000, 0.5000], [0.5000, 0.5000, 0.0000], [0.2500, 0.2500, 0.7500], [0.2500, 0.7500, 0.2500], [0.7500, 0.2500, 0.2500], [0.7500, 0.7500, 0.7500], [0.0000, 0.0000, 0.5000], [0.0000, 0.5000, 0.0000], [0.5000, 0.0000, 0.0000], [0.5000, 0.5000, 0.5000], [0.2500, 0.2500, 0.2500], [0.2500, 0.7500, 0.7500], [0.7500, 0.2500, 0.7500], [0.7500, 0.7500, 0.2500]], "ef_ev_per_atom": 0.225, "vol_a3_per_atom": 21.83, "energy_ev_per_atom": -1.789}

***

# 8
{"formula": "BeAs2Pd", "functional": "GGA-PBE", "state": "optimized geometry", "lattice_angstrom": [[3.8415, 0.0000, 0.0000], [-1.9208, 3.3268, 0.0000], [0.0000, 0.0000, 20.1654]], "species": ["Be", "Be", "Be", "As", "As", "As", "As", "As", "As", "Pd", "Pd", "Pd"], "frac_coords": [[0.0000, 0.0000, 0.0000], [0.3333, 0.6667, 0.6667], [0.6667, 0.3333, 0.3333], [0.0000, 0.0000, 0.1061], [0.0000, 0.0000, 0.8939], [0.3333, 0.6667, 0.5606], [0.3333, 0.6667, 0.7727], [0.6667, 0.3333, 0.2273], [0.6667, 0.3333, 0.4394], [0.0000, 0.0000, 0.5000], [0.3333, 0.6667, 0.1667], [0.6667, 0.3333, 0.8333]], "ef_ev_per_atom": 0.198, "vol_a3_per_atom": 21.48, "energy_ev_per_atom": -4.356}